DFT (SCAN) results for a crystal of ZrCd3S relaxed with PBEsol.

The formation energy without anion corrections is 1.08 eV/atom. The calculation puts the total magnetization at 0.00 Bohr magnetons per cell.

It has space group Pm-3m (No. 221), with a = 5.4741 Å, b = 5.4741 Å, c = 5.4741 Å, α = 90.00°, β = 90.00° and γ = 90.00°. The asymmetric unit holds Zr at (0.0000, 0.0000, 0.0000), Cd at (0.0000, 0.0000, 0.5000) and S at (0.5000, 0.5000, 0.5000).



DFT (SCAN) results for a crystal of ZrCdS2 relaxed with PBEsol.

The formation energy without anion corrections is -0.48 eV/atom. The calculation puts the total magnetization at 0.00 Bohr magnetons per cell.

It has space group R-3m (No. 166, hexagonal axes), with a = 3.7099 Å, b = 3.7099 Å, c = 23.5208 Å, α = 90.00°, β = 90.00° and γ = 120.00°. The asymmetric unit holds Zr at (0.0000, 0.0000, 0.0000), Cd at (0.0000, 0.0000, 0.5000) and S at (0.0000, 0.0000, 0.1018).



DFT (SCAN) results for a crystal of ZrCdS2 relaxed with PBEsol.

The formation energy without anion corrections is -1.23 eV/atom. The calculation puts the total magnetization at 0.00 Bohr magnetons per cell.

It has space group R-3m (No. 166, hexagonal axes), with a = 3.5005 Å, b = 3.5005 Å, c = 25.3250 Å, α = 90.00°, β = 90.00° and γ = 120.00°. The asymmetric unit holds Zr at (0.0000, 0.0000, 0.0000), Cd at (0.0000, 0.0000, 0.5000) and S at (0.0000, 0.0000, 0.3942).



DFT (SCAN) results for a crystal of CdSb relaxed with PBEsol.

The formation energy without anion corrections is 0.03 eV/atom. The calculation puts the total magnetization at 0.00 Bohr magnetons per cell.

It has space group Immm (No. 71), with a = 3.1324 Å, b = 5.4017 Å, c = 5.8500 Å, α = 90.00°, β = 90.00° and γ = 90.00°. The asymmetric unit holds Cd at (0.0000, 0.0000, 0.0000) and Sb at (0.0000, 0.0000, 0.5000).



DFT (SCAN) results for a crystal of Cd3Sb relaxed with PBEsol.

The formation energy without anion corrections is 0.09 eV/atom. The calculation puts the total magnetization at 0.00 Bohr magnetons per cell.

It has space group Pm-3m (No. 221), with a = 4.5006 Å, b = 4.5006 Å, c = 4.5006 Å, α = 90.00°, β = 90.00° and γ = 90.00°. The asymmetric unit holds Cd at (0.0000, 0.0000, 0.5000) and Sb at (0.5000, 0.5000, 0.5000).



DFT (SCAN) results for a crystal of CdSb3 relaxed with PBEsol.

The formation energy without anion corrections is 0.26 eV/atom. The calculation puts the total magnetization at 0.00 Bohr magnetons per cell.

It has space group Pm-3m (No. 221), with a = 4.6811 Å, b = 4.6811 Å, c = 4.6811 Å, α = 90.00°, β = 90.00° and γ = 90.00°. The asymmetric unit holds Cd at (0.0000, 0.0000, 0.0000) and Sb at (0.0000, 0.5000, 0.5000).



DFT (SCAN) results for a crystal of Cd5Sb relaxed with PBEsol.

The formation energy without anion corrections is 0.08 eV/atom. The calculation puts the total magnetization at 0.00 Bohr magnetons per cell.

It has space group P4/mmm (No. 123), with a = 3.1777 Å, b = 3.1777 Å, c = 13.1164 Å, α = 90.00°, β = 90.00° and γ = 90.00°. The asymmetric unit holds Cd at (0.0000, 0.0000, 0.0000), Cd at (0.0000, 0.0000, 0.3180), Cd at (0.5000, 0.5000, 0.1597) and Sb at (0.5000, 0.5000, 0.5000).



DFT (SCAN) results for a crystal of CdSb relaxed with PBEsol.

The formation energy without anion corrections is 0.08 eV/atom. The calculation puts the total magnetization at 0.00 Bohr magnetons per cell.

It has space group R-3m (No. 166, hexagonal axes), with a = 4.0960 Å, b = 4.0960 Å, c = 21.8604 Å, α = 90.00°, β = 90.00° and γ = 120.00°. The asymmetric unit holds Cd at (0.0000, 0.0000, 0.1276) and Sb at (0.0000, 0.0000, 0.3744).



DFT (SCAN) results for a crystal of Cd3Sb relaxed with PBEsol.

The formation energy without anion corrections is 0.04 eV/atom. The calculation puts the total magnetization at 0.00 Bohr magnetons per cell.

It has space group Pnma (No. 62), with a = 5.0464 Å, b = 8.8406 Å, c = 8.4037 Å, α = 90.00°, β = 90.00° and γ = 90.00°. The asymmetric unit holds Cd at (0.1445, 0.2500, 0.1500), Cd at (0.1761, 0.0185, 0.8571) and Sb at (0.0812, 0.2500, 0.5856).



DFT (SCAN) results for a crystal of Cd7Sb relaxed with PBEsol.

The formation energy without anion corrections is 0.06 eV/atom. The calculation puts the total magnetization at 0.00 Bohr magnetons per cell.

It has space group Fm-3m (No. 225), with a = 8.8675 Å, b = 8.8675 Å, c = 8.8675 Å, α = 90.00°, β = 90.00° and γ = 90.00°. The asymmetric unit holds Cd at (0.0000, 0.0000, 0.0000), Cd at (0.0000, 0.2500, 0.2500) and Sb at (0.0000, 0.0000, 0.5000).



DFT (SCAN) results for a crystal of CdSb3 relaxed with PBEsol.

The formation energy without anion corrections is 0.27 eV/atom. The calculation puts the total magnetization at 0.00 Bohr magnetons per cell.

It has space group R-3m (No. 166, hexagonal axes), with a = 3.2825 Å, b = 3.2825 Å, c = 32.5196 Å, α = 90.00°, β = 90.00° and γ = 120.00°. The asymmetric unit holds Cd at (0.0000, 0.0000, 0.0000), Sb at (0.0000, 0.0000, 0.2542) and Sb at (0.0000, 0.0000, 0.5000).



DFT (SCAN) results for a crystal of Cd5Sb relaxed with PBEsol.

The formation energy without anion corrections is 0.07 eV/atom. The calculation puts the total magnetization at 0.00 Bohr magnetons per cell.

It has space group Amm2 (No. 38), with a = 5.5627 Å, b = 2.9555 Å, c = 16.4823 Å, α = 90.00°, β = 90.00° and γ = 90.00°. The asymmetric unit holds Cd at (0.0000, 0.0000, 0.0000), Cd at (0.0000, 0.0000, 0.3330), Cd at (0.0000, 0.0000, 0.6658), Cd at (0.5000, 0.0000, 0.1595), Cd at (0.5000, 0.0000, 0.5026) and Sb at (0.5000, 0.0000, 0.8311).



DFT (SCAN) results for a crystal of Cd5Sb relaxed with PBEsol.

The formation energy without anion corrections is 0.06 eV/atom. The calculation puts the total magnetization at 0.00 Bohr magnetons per cell.

It has space group Cmmm (No. 65), with a = 4.4536 Å, b = 13.4673 Å, c = 4.4383 Å, α = 90.00°, β = 90.00° and γ = 90.00°. The asymmetric unit holds Cd at (0.0000, 0.0000, 0.0000), Cd at (0.0000, 0.1714, 0.5000), Cd at (0.0000, 0.3284, 0.0000) and Sb at (0.0000, 0.5000, 0.5000).



DFT (SCAN) results for a crystal of Cd5Sb relaxed with PBEsol.

The formation energy without anion corrections is 0.10 eV/atom. The calculation puts the total magnetization at 0.00 Bohr magnetons per cell.

It has space group P-62m (No. 189), with a = 5.3301 Å, b = 5.3301 Å, c = 5.4789 Å, α = 90.00°, β = 90.00° and γ = 120.00°. The asymmetric unit holds Cd at (0.0000, 0.6602, 0.0000), Cd at (0.3333, 0.6667, 0.5000) and Sb at (0.0000, 0.0000, 0.5000).



DFT (SCAN) results for a crystal of CdSb3 relaxed with PBEsol.

The formation energy without anion corrections is 0.04 eV/atom. The calculation puts the total magnetization at 0.00 Bohr magnetons per cell.

It has space group P2/m (No. 10), with a = 3.0810 Å, b = 4.1879 Å, c = 8.5091 Å, α = 90.00°, β = 98.92° and γ = 90.00°. The asymmetric unit holds Cd at (0.0000, 0.0000, 0.0000), Sb at (0.0000, 0.0000, 0.5000) and Sb at (0.1252, 0.5000, 0.7624).



DFT (SCAN) results for a crystal of Cd3Sb relaxed with PBEsol.

The formation energy without anion corrections is 0.09 eV/atom. The calculation puts the total magnetization at 0.00 Bohr magnetons per cell.

It has space group I4/mmm (No. 139), with a = 4.4037 Å, b = 4.4037 Å, c = 9.4473 Å, α = 90.00°, β = 90.00° and γ = 90.00°. The asymmetric unit holds Cd at (0.0000, 0.0000, 0.0000), Cd at (0.0000, 0.5000, 0.2500) and Sb at (0.0000, 0.0000, 0.5000).



DFT (SCAN) results for a crystal of Cd3Sb2 relaxed with PBEsol.

The formation energy without anion corrections is 0.08 eV/atom. The calculation puts the total magnetization at 0.00 Bohr magnetons per cell.

It has space group R-3m (No. 166, hexagonal axes), with a = 4.4019 Å, b = 4.4019 Å, c = 22.6602 Å, α = 90.00°, β = 90.00° and γ = 120.00°. The asymmetric unit holds Cd at (0.0000, 0.0000, 0.0000), Cd at (0.0000, 0.0000, 0.1995) and Sb at (0.0000, 0.0000, 0.4040).



DFT (SCAN) results for a crystal of CdSb relaxed with PBEsol.

The formation energy without anion corrections is 0.09 eV/atom. The calculation puts the total magnetization at 0.00 Bohr magnetons per cell.

It has space group Pmmn (No. 59, origin choice 2), with a = 3.2114 Å, b = 4.7712 Å, c = 6.6430 Å, α = 90.00°, β = 90.00° and γ = 90.00°. The asymmetric unit holds Cd at (0.2500, 0.2500, 0.0866) and Sb at (0.2500, 0.7500, 0.3323).



DFT (SCAN) results for a crystal of CdSb relaxed with PBEsol.

The formation energy without anion corrections is -0.07 eV/atom. The calculation puts the total magnetization at 0.00 Bohr magnetons per cell.

It has space group Pbca (No. 61), with a = 6.4349 Å, b = 8.2489 Å, c = 8.5362 Å, α = 90.00°, β = 90.00° and γ = 90.00°. The asymmetric unit holds Cd at (0.0456, 0.1201, 0.1323) and Sb at (0.1401, 0.5747, 0.8947).



DFT (SCAN) results for a crystal of Cd3Sb relaxed with PBEsol.

The formation energy without anion corrections is 0.09 eV/atom. The calculation puts the total magnetization at 0.00 Bohr magnetons per cell.

It has space group Pmmm (No. 47), with a = 3.1071 Å, b = 4.4201 Å, c = 6.6272 Å, α = 90.00°, β = 90.00° and γ = 90.00°. The asymmetric unit holds Cd at (0.0000, 0.0000, 0.0000), Cd at (0.5000, 0.5000, 0.2314) and Sb at (0.0000, 0.0000, 0.5000).



DFT (SCAN) results for a crystal of CdSbSe relaxed with PBEsol.

The formation energy without anion corrections is 0.26 eV/atom. The calculation puts the total magnetization at 0.00 Bohr magnetons per cell.

It has space group F-43m (No. 216), with a = 6.9226 Å, b = 6.9226 Å, c = 6.9226 Å, α = 90.00°, β = 90.00° and γ = 90.00°. The asymmetric unit holds Cd at (0.0000, 0.0000, 0.0000), Sb at (0.2500, 0.2500, 0.7500) and Se at (0.0000, 0.0000, 0.5000).



DFT (SCAN) results for a crystal of CdSi2Sb relaxed with PBEsol.

The formation energy without anion corrections is 0.47 eV/atom. The calculation puts the total magnetization at 0.00 Bohr magnetons per cell.

It has space group P4mm (No. 99), with a = 3.3552 Å, b = 3.3552 Å, c = 7.1327 Å, α = 90.00°, β = 90.00° and γ = 90.00°. The asymmetric unit holds Cd at (0.0000, 0.0000, 0.0000), Si at (0.0000, 0.0000, 0.6032), Si at (0.5000, 0.5000, 0.7112) and Sb at (0.5000, 0.5000, 0.3050).



DFT (SCAN) results for a crystal of Cd4SiSb relaxed with PBEsol.

The formation energy without anion corrections is 0.42 eV/atom. The calculation puts the total magnetization at 0.00 Bohr magnetons per cell.

It has space group F-43m (No. 216), with a = 8.0925 Å, b = 8.0925 Å, c = 8.0925 Å, α = 90.00°, β = 90.00° and γ = 90.00°. The asymmetric unit holds Cd at (0.1246, 0.1246, 0.1246), Si at (0.2500, 0.2500, 0.7500) and Sb at (0.0000, 0.0000, 0.5000).



DFT (SCAN) results for a crystal of CdSi2Sb relaxed with PBEsol.

The formation energy without anion corrections is 0.68 eV/atom. The calculation puts the total magnetization at 0.00 Bohr magnetons per cell.

It has space group Pmmm (No. 47), with a = 3.6647 Å, b = 4.6211 Å, c = 4.7248 Å, α = 90.00°, β = 90.00° and γ = 90.00°. The asymmetric unit holds Cd at (0.0000, 0.0000, 0.0000), Si at (0.5000, 0.0000, 0.5000), Si at (0.5000, 0.5000, 0.0000) and Sb at (0.0000, 0.5000, 0.5000).



DFT (SCAN) results for a crystal of CdSiSb2 relaxed with PBEsol.

The formation energy without anion corrections is 0.34 eV/atom. The calculation puts the total magnetization at 0.00 Bohr magnetons per cell.

It has space group Pmm2 (No. 25), with a = 3.7731 Å, b = 3.8963 Å, c = 6.5340 Å, α = 90.00°, β = 90.00° and γ = 90.00°. The asymmetric unit holds Cd at (0.0000, 0.0000, 0.0000), Si at (0.5000, 0.5000, 0.7202), Sb at (0.0000, 0.0000, 0.5641) and Sb at (0.5000, 0.5000, 0.1571).



DFT (SCAN) results for a crystal of Sr2CdSb relaxed with PBEsol.

The formation energy without anion corrections is -0.82 eV/atom. The calculation puts the total magnetization at 0.00 Bohr magnetons per cell.

It has space group Amm2 (No. 38), with a = 4.6806 Å, b = 4.6720 Å, c = 12.1680 Å, α = 90.00°, β = 90.00° and γ = 90.00°. The asymmetric unit holds Sr at (0.0000, 0.0000, 0.0000), Sr at (0.5000, 0.0000, 0.2770), Cd at (0.0000, 0.0000, 0.7197) and Sb at (0.5000, 0.0000, 0.5597).



DFT (SCAN) results for a crystal of SrCd2Sb relaxed with PBEsol.

The formation energy without anion corrections is -0.35 eV/atom. The calculation puts the total magnetization at 0.00 Bohr magnetons per cell.

It has space group R-3m (No. 166, hexagonal axes), with a = 4.7329 Å, b = 4.7329 Å, c = 18.0563 Å, α = 90.00°, β = 90.00° and γ = 120.00°. The asymmetric unit holds Sr at (0.0000, 0.0000, 0.0000), Cd at (0.0000, 0.0000, 0.2318) and Sb at (0.0000, 0.0000, 0.5000).



DFT (SCAN) results for a crystal of SrCdSb relaxed with PBEsol.

The formation energy without anion corrections is -0.45 eV/atom. The calculation puts the total magnetization at 0.00 Bohr magnetons per cell.

It has space group F-43m (No. 216), with a = 7.3700 Å, b = 7.3700 Å, c = 7.3700 Å, α = 90.00°, β = 90.00° and γ = 90.00°. The asymmetric unit holds Sr at (0.0000, 0.0000, 0.0000), Cd at (0.0000, 0.0000, 0.5000) and Sb at (0.2500, 0.2500, 0.7500).